# 1
{"formula": "K4NbO5", "functional": "PBE", "state": "optimized geometry", "vol_a3_per_cell": 210.24, "space_group": "I4, No. 79", "relative_energy_kj_per_mol_atoms": 4.8, "e_form_raw_kj_per_mol_fu": -1742, "magmom_total_mub_per_fu": 1.05, "lattice_angstrom": [[-4.935, 4.935, 2.158], [4.935, -4.935, 2.158], [4.935, 4.935, -2.158]], "species": ["K", "K", "K", "K", "Nb", "O", "O", "O", "O", "O"], "fractional_positions": [[0.100, 0.252, 0.351], [0.252, 0.900, 0.152], [0.748, 0.100, 0.848], [0.900, 0.748, 0.649], [0.527, 0.527, 0.000], [0.283, 0.398, 0.738], [0.398, 0.660, 0.116], [0.545, 0.283, 0.884], [0.660, 0.545, 0.262], [0.966, 0.966, 0.000]]}


# 2
{"formula": "AlVCrB2", "functional": "PBE", "state": "optimized geometry", "vol_a3_per_cell": 65.41, "space_group": "P4/mmm, No. 123", "magmom_total_mub_per_fu": 0.13, "formation_energy_ev_per_atom": 1.044, "lattice_angstrom": [[3.963, 0.000, 0.000], [0.000, 3.963, 0.000], [0.000, 0.000, 4.164]], "species": ["Al", "V", "Cr", "B", "B"], "fractional_positions": [[0.000, 0.000, 0.000], [0.500, 0.500, 0.000], [0.500, 0.500, 0.500], [0.000, 0.500, 0.500], [0.500, 0.000, 0.500]]}


# 3
{"formula": "ZnCuSnPt", "functional": "PBE", "state": "optimized geometry", "vol_a3_per_cell": 260.72, "space_group": "F-43m, No. 216", "magmom_total_mub_per_fu": 0.00, "formation_energy_ev_per_atom": -0.187, "lattice_angstrom": [[6.388, 0.000, 0.000], [0.000, 6.388, 0.000], [0.000, 0.000, 6.388]], "species": ["Zn", "Zn", "Zn", "Zn", "Cu", "Cu", "Cu", "Cu", "Sn", "Sn", "Sn", "Sn", "Pt", "Pt", "Pt", "Pt"], "fractional_positions": [[0.000, 0.000, 0.000], [0.000, 0.500, 0.500], [0.500, 0.000, 0.500], [0.500, 0.500, 0.000], [0.250, 0.250, 0.250], [0.250, 0.750, 0.750], [0.750, 0.250, 0.750], [0.750, 0.750, 0.250], [0.000, 0.000, 0.500], [0.000, 0.500, 0.000], [0.500, 0.000, 0.000], [0.500, 0.500, 0.500], [0.250, 0.250, 0.750], [0.250, 0.750, 0.250], [0.750, 0.250, 0.250], [0.750, 0.750, 0.750]]}


# 4
{"formula": "V2GaGe", "functional": "PBE", "state": "optimized geometry", "vol_a3_per_cell": 56.69, "space_group": "P4/mmm, No. 123", "magmom_total_mub_per_fu": 0.00, "formation_energy_ev_per_atom": -0.070, "lattice_angstrom": [[2.701, 0.000, 0.000], [0.000, 2.701, 0.000], [0.000, 0.000, 7.773]], "species": ["V", "V", "Ga", "Ge"], "fractional_positions": [[0.000, 0.000, 0.247], [0.000, 0.000, 0.753], [0.500, 0.500, 0.500], [0.500, 0.500, 0.000]]}


# 5
{"formula": "NiMoPt2", "functional": "PBE", "state": "optimized geometry", "vol_a3_per_cell": 115.74, "space_group": "I-4m2, No. 119", "relative_energy_kj_per_mol_atoms": 6.6, "magmom_total_mub_per_fu": 0.00, "formation_energy_ev_per_atom": -0.228, "lattice_angstrom": [[3.824, 0.000, 0.000], [0.000, 3.824, 0.000], [0.000, 0.000, 7.914]], "species": ["Ni", "Ni", "Mo", "Mo", "Pt", "Pt", "Pt", "Pt"], "fractional_positions": [[0.000, 0.000, 0.000], [0.500, 0.500, 0.500], [0.000, 0.500, 0.750], [0.500, 0.000, 0.250], [0.000, 0.000, 0.500], [0.000, 0.500, 0.250], [0.500, 0.000, 0.750], [0.500, 0.500, 0.000]]}


# 6
{"formula": "HfPd2C", "functional": "PBE", "state": "optimized geometry", "vol_a3_per_cell": 289.57, "space_group": "I-42d, No. 122", "magmom_total_mub_per_fu": 0.00, "formation_energy_ev_per_atom": 0.452, "lattice_angstrom": [[5.354, 0.000, 0.000], [0.000, 5.354, 0.000], [0.000, 0.000, 10.104]], "species": ["Hf", "Hf", "Hf", "Hf", "Pd", "Pd", "Pd", "Pd", "Pd", "Pd", "Pd", "Pd", "C", "C", "C", "C"], "fractional_positions": [[0.000, 0.000, 0.000], [0.000, 0.500, 0.250], [0.500, 0.000, 0.750], [0.500, 0.500, 0.500], [0.148, 0.250, 0.625], [0.250, 0.648, 0.875], [0.250, 0.852, 0.375], [0.352, 0.250, 0.125], [0.648, 0.750, 0.125], [0.750, 0.148, 0.375], [0.750, 0.352, 0.875], [0.852, 0.750, 0.625], [0.000, 0.000, 0.500], [0.000, 0.500, 0.750], [0.500, 0.000, 0.250], [0.500, 0.500, 0.000]]}


# 7
{"formula": "KMo2H", "functional": "PBE", "state": "optimized geometry", "vol_a3_per_cell": 287.49, "space_group": "I4_1/amd, No. 141", "relative_energy_kj_per_mol_atoms": 0.0, "magmom_total_mub_per_fu": 0.00, "lattice_angstrom": [[5.873, 0.000, 0.000], [0.000, 5.873, 0.000], [0.000, 0.000, 8.334]], "species": ["K", "K", "K", "K", "Mo", "Mo", "Mo", "Mo", "Mo", "Mo", "Mo", "Mo", "H", "H", "H", "H"], "fractional_positions": [[0.000, 0.250, 0.375], [0.000, 0.750, 0.625], [0.500, 0.250, 0.125], [0.500, 0.750, 0.875], [0.000, 0.000, 0.000], [0.000, 0.500, 0.000], [0.250, 0.250, 0.750], [0.250, 0.750, 0.250], [0.500, 0.000, 0.500], [0.500, 0.500, 0.500], [0.750, 0.250, 0.750], [0.750, 0.750, 0.250], [0.000, 0.250, 0.875], [0.000, 0.750, 0.125], [0.500, 0.250, 0.625], [0.500, 0.750, 0.375]]}


Question: Which formula does entry 6 have?
Answer: HfPd2C


Question: What is the formula in the fifth record?
Answer: NiMoPt2